Entry 1:
Here is an optimized crystal structure of LiSc3U3S8 from Alexandria via LeMat-Bulk. Energies are from PBE.

Cell lengths 7.4623, 7.4623, 7.5980 Å; angles 119.41, 90.00, 120.00 degrees
Last column: nearest neighbours and their distance in Å.
Atoms (fractional coordinates):
Sc1 0.5000 0.0000 0.5000  6 S 2.59-2.61
U1 0.0000 0.0000 0.0000  6 S 2.72-2.73
Sc2 0.0000 0.5000 0.5000  6 S 2.59-2.61
U2 0.0000 0.5000 0.0000  6 S 2.72-2.73
Sc3 0.5000 0.5000 0.5000  6 S 2.59-2.61
U3 0.5000 0.5000 0.0000  6 S 2.72-2.73
S1 0.2477 0.9900 0.7377  2 Sc 2.61, 1 Li 2.64, 2 U 2.72
S2 0.2476 0.4953 0.7376  2 Sc 2.61, 1 Li 2.64, 2 U 2.72
S3 0.7436 0.4873 0.7309  3 Sc 2.59, 3 U 2.73
S4 0.2577 0.0100 0.2623  2 Sc 2.61, 1 Li 2.64, 2 U 2.72
S5 0.7423 0.9900 0.7377  2 Sc 2.61, 1 Li 2.64, 2 U 2.72
S6 0.7523 0.0100 0.2623  2 Sc 2.61, 1 Li 2.64, 2 U 2.72
S7 0.2564 0.5127 0.2691  3 Sc 2.59, 3 U 2.73
Li1 0.0000 0.0000 0.5000  6 S 2.64
S8 0.7524 0.5047 0.2624  2 Sc 2.61, 1 Li 2.64, 2 U 2.72

For the density of states at the Fermi level, the calculation gives 15.89 states/eV per cell. Its space group is R-3m (166). As for the total energy: -111.92 eV per cell. The value obtained for the formation energy without anion corrections is -1.609 eV per atom.

---

Entry 2:
Here is an optimized crystal structure of Li3Sc3US8 from Alexandria via LeMat-Bulk. Energies are from PBE.

Cell lengths 7.5058, 7.5054, 7.5027 Å; angles 120.03, 90.00, 120.00 degrees
Last column: nearest neighbours and their distance in Å.
Atoms (fractional coordinates):
Li1 0.5000 0.5000 0.0000  6 S 2.69-2.71
S1 0.2535 0.5069 0.2606  3 Sc 2.62, 3 Li 2.69
U1 0.0000 0.0000 0.5000  6 S 2.66
Sc1 0.5000 0.5000 0.5000  6 S 2.60-2.62
Li2 0.0000 0.5000 0.0000  6 S 2.69-2.71
Li3 0.0000 0.0000 0.0000  6 S 2.69-2.71
S2 0.7465 0.4931 0.7394  3 Sc 2.62, 3 Li 2.69
S3 0.7498 0.4995 0.2601  2 Sc 2.60, 1 U 2.66, 2 Li 2.71
S4 0.7396 0.9898 0.7399  2 Sc 2.60, 1 U 2.66, 2 Li 2.71
S5 0.2503 0.9898 0.7399  2 Sc 2.60, 1 U 2.66, 2 Li 2.71
S6 0.7497 0.0102 0.2601  2 Sc 2.60, 1 U 2.66, 2 Li 2.71
Sc2 0.5000 0.0000 0.5000  6 S 2.60-2.62
S7 0.2502 0.5005 0.7399  2 Sc 2.60, 1 U 2.66, 2 Li 2.71
S8 0.2604 0.0102 0.2601  2 Sc 2.60, 1 U 2.66, 2 Li 2.71
Sc3 0.0000 0.5000 0.5000  6 S 2.60-2.62

For the density of states at the Fermi level, the calculation gives 6.20 states/eV per cell. Its space group is R-3m (166). As for the total energy: -93.88 eV per cell. The value obtained for the formation energy without anion corrections is -1.656 eV per atom.

---

Entry 3:
Here is an optimized crystal structure of Li3Sc3VS8 from Alexandria via LeMat-Bulk. Energies are from PBE.

Cell lengths 7.2522, 7.2519, 7.4210 Å; angles 119.27, 90.00, 120.00 degrees
Last column: nearest neighbours and their distance in Å.
Atoms (fractional coordinates):
S1 0.2382 0.0038 0.2696  1 V 2.43, 2 Sc 2.57, 2 Li 2.62
S2 0.2344 0.9962 0.7304  1 V 2.43, 2 Sc 2.57, 2 Li 2.62
V1 0.0000 0.0000 0.5000  6 S 2.43
S3 0.7656 0.5312 0.2695  1 V 2.43, 2 Sc 2.57, 2 Li 2.62
S4 0.7656 0.0038 0.2696  1 V 2.43, 2 Sc 2.57, 2 Li 2.62
S5 0.2522 0.5044 0.2568  3 Sc 2.57, 3 Li 2.62
S6 0.2344 0.4688 0.7305  1 V 2.43, 2 Sc 2.57, 2 Li 2.62
Sc1 0.0000 0.5000 0.5000  6 S 2.57
Li1 0.0000 0.0000 0.0000  6 S 2.62
S7 0.7618 0.9962 0.7304  1 V 2.43, 2 Sc 2.57, 2 Li 2.62
Li2 0.5000 0.5000 0.0000  6 S 2.62
Sc2 0.5000 0.0000 0.5000  6 S 2.57
S8 0.7478 0.4956 0.7432  3 Sc 2.57, 3 Li 2.62
Li3 0.0000 0.5000 0.0000  6 S 2.62
Sc3 0.5000 0.5000 0.5000  6 S 2.57

For the density of states at the Fermi level, the calculation gives 5.29 states/eV per cell. Its space group is R-3m (166). As for the total energy: -89.98 eV per cell. The value obtained for the formation energy without anion corrections is -1.540 eV per atom.